a) The following is a GGA-PBE calculation of an optimized crystal structure of Zn2Ag5, from Alexandria.

Symmetry: C2/c, No. 15
Density in Mg/m³: 9.4
Crystal system: monoclinic
Total magnetization in μB per formula unit: 0.00

a = 4.8414 Å, b = 7.5470 Å, c = 6.9412 Å
α = 94.26°, β = 110.41°, γ = 90.00°
Closest atoms and distances in Å follow each position.
Atoms (fractional coordinates):
Zn: 0.2409 0.3926 0.8491  10 Ag 2.79-2.94, 2 Zn 3.02-3.03
Zn: 0.3918 0.1074 0.1509  10 Ag 2.79-2.94, 2 Zn 3.02-3.03
Zn: 0.7591 0.6074 0.1509  10 Ag 2.79-2.94, 2 Zn 3.02-3.03
Zn: 0.6082 0.8926 0.8491  10 Ag 2.79-2.94, 2 Zn 3.02-3.03
Ag: 0.3190 0.4623 0.2695  4 Zn 2.79-2.82, 8 Ag 2.85-3.07
Ag: 0.0494 0.0377 0.7305  4 Zn 2.79-2.82, 8 Ag 2.85-3.07
Ag: 0.1079 0.6783 0.5677  3 Zn 2.81-2.94, 9 Ag 2.82-3.00
Ag: 0.5402 0.8217 0.4323  3 Zn 2.81-2.94, 9 Ag 2.82-3.00
Ag: 0.8921 0.3217 0.4323  3 Zn 2.81-2.94, 9 Ag 2.82-3.00
Ag: 0.4598 0.1783 0.5677  3 Zn 2.81-2.94, 9 Ag 2.82-3.00
Ag: 0.9506 0.9623 0.2695  4 Zn 2.79-2.82, 8 Ag 2.85-3.07
Ag: 0.6810 0.5377 0.7305  4 Zn 2.79-2.82, 8 Ag 2.85-3.07
Ag: 0.8050 0.2500 0.0000  6 Zn 2.81-2.90, 6 Ag 2.89-2.93
Ag: 0.1950 0.7500 0.0000  6 Zn 2.81-2.90, 6 Ag 2.89-2.93


b) The following is a GGA-PBE calculation of an optimized crystal structure of Zn2Ag5, from Alexandria.

Symmetry: Ibam, No. 72
Density in Mg/m³: 9.2
Crystal system: orthorhombic
Total magnetization in μB per formula unit: 0.00

a = 5.5660 Å, b = 6.8630 Å, c = 7.7368 Å
α = 116.33°, β = 111.08°, γ = 90.00°
Closest atoms and distances in Å follow each position.
Atoms (fractional coordinates):
Zn: 0.3775 0.6540 0.7549  10 Ag 2.69-2.84
Zn: 0.6225 0.3460 0.2451  10 Ag 2.69-2.84
Zn: 0.8775 0.1009 0.7549  10 Ag 2.69-2.84
Zn: 0.1225 0.8991 0.2451  10 Ag 2.69-2.84
Ag: 0.0899 0.2537 0.1798  4 Zn 2.69-2.84, 4 Ag 2.92-2.93
Ag: 0.9101 0.7463 0.8202  4 Zn 2.69-2.84, 4 Ag 2.92-2.93
Ag: 0.5899 0.9262 0.1798  4 Zn 2.69-2.84, 4 Ag 2.92-2.93
Ag: 0.4101 0.0738 0.8202  4 Zn 2.69-2.84, 4 Ag 2.92-2.93
Ag: 0.4787 0.7287 0.4573  4 Zn 2.71-2.80, 5 Ag 2.78-2.92
Ag: 0.0213 0.2713 0.5427  4 Zn 2.71-2.80, 5 Ag 2.78-2.92
Ag: 0.5213 0.2713 0.5427  4 Zn 2.71-2.80, 5 Ag 2.78-2.92
Ag: 0.9787 0.7287 0.4573  4 Zn 2.71-2.80, 5 Ag 2.78-2.92
Ag: 0.7500 0.5000 0.0000  8 Ag 2.78-2.93, 4 Zn 2.82
Ag: 0.2500 0.5000 0.0000  8 Ag 2.78-2.93, 4 Zn 2.82


Stability, lowest: b)